# 1
PBE PdPtSO, relaxed; M_tot = 0.02 μB per cell; ΔE to the lowest computed polymorph = 0.53 eV per formula unit; symmetry = P2_12_12_1 (19); E = -5.1365 eV per atom
1.0
-3.033 4.143 -0.755
-5.197 -3.976 -0.937
-1.582 0.248 7.719
Pd S Pt O
4 4 4 4
direct
0.218 0.214 0.004
0.782 0.714 0.496
0.718 0.286 0.996
0.282 0.786 0.504
0.999 0.934 0.120
0.501 0.066 0.620
0.499 0.566 0.880
0.001 0.434 0.380
0.092 0.663 0.963
0.592 0.837 0.037
0.908 0.163 0.537
0.408 0.337 0.463
0.500 0.612 0.347
0.000 0.888 0.653
0.000 0.388 0.847
0.500 0.112 0.153

=====

# 2
PBE PdPtSO, relaxed; M_tot = 0.00 μB per cell; ΔE to the lowest computed polymorph = 0.08 eV per formula unit; symmetry = P2_12_12_1 (19); E = -5.2487 eV per atom
1.0
6.371 0.000 0.000
0.000 6.195 0.000
0.000 0.000 7.484
Pt Pd O S
4 4 4 4
direct
0.523 0.207 0.927
0.023 0.293 0.073
0.977 0.793 0.427
0.477 0.707 0.573
0.781 0.754 0.993
0.219 0.254 0.507
0.281 0.746 0.007
0.719 0.246 0.493
0.468 0.439 0.429
0.968 0.061 0.571
0.032 0.561 0.929
0.532 0.939 0.071
0.473 0.058 0.654
0.973 0.442 0.346
0.027 0.942 0.154
0.527 0.558 0.846

=====

# 3
PBE PdPtSO, relaxed; M_tot = 0.02 μB per cell; ΔE to the lowest computed polymorph = 0.00 eV per formula unit; symmetry = Pbca (61); E = -5.2693 eV per atom
1.0
-4.471 3.816 -3.561
-9.623 -6.812 4.781
-0.381 3.528 4.259
Pt S O Pd
8 8 8 8
direct
0.838 0.593 0.863
0.162 0.407 0.137
0.338 0.907 0.137
0.662 0.093 0.863
0.838 0.907 0.363
0.338 0.593 0.637
0.162 0.093 0.637
0.662 0.407 0.363
0.402 0.527 0.263
0.402 0.973 0.763
0.098 0.027 0.263
0.902 0.973 0.737
0.098 0.473 0.763
0.598 0.473 0.737
0.598 0.027 0.237
0.902 0.527 0.237
0.179 0.331 0.466
0.321 0.831 0.466
0.821 0.831 0.034
0.679 0.331 0.034
0.321 0.669 0.966
0.179 0.169 0.966
0.679 0.169 0.534
0.821 0.669 0.534
0.574 0.752 0.503
0.574 0.748 0.003
0.926 0.248 0.003
0.074 0.748 0.497
0.426 0.252 0.997
0.074 0.752 0.997
0.426 0.248 0.497
0.926 0.252 0.503

=====

# 4
PBE PdPtSeO, relaxed; M_tot = 0.00 μB per cell; ΔE to the lowest computed polymorph = 0.79 eV per formula unit; symmetry = P4/nmm (129); E = -4.8300 eV per atom
1.0
-1.929 -1.295 3.061
3.303 -1.134 1.602
0.792 7.483 3.664
Pt Se O Pd
2 2 2 2
direct
0.750 0.750 0.238
0.250 0.250 0.762
0.250 0.250 0.303
0.750 0.750 0.697
0.750 0.750 0.493
0.250 0.250 0.507
0.750 0.250 0.000
0.250 0.750 0.000

=====

# 5
PBE PdPtSeO, relaxed; M_tot = 0.01 μB per cell; ΔE to the lowest computed polymorph = 0.91 eV per formula unit; symmetry = P4/nmm (129); E = -4.7996 eV per atom
1.0
4.608 0.000 0.000
0.000 4.608 0.000
0.000 0.000 6.632
Se Pt O Pd
2 2 2 2
direct
0.750 0.250 0.500
0.250 0.750 0.500
0.750 0.750 0.702
0.250 0.250 0.298
0.750 0.750 0.985
0.250 0.250 0.015
0.750 0.750 0.284
0.250 0.250 0.716

=====

# 6
PBE PdPtSeO, relaxed; M_tot = 0.01 μB per cell; ΔE to the lowest computed polymorph = 0.56 eV per formula unit; symmetry = P4/nmm (129); E = -4.8862 eV per atom
1.0
3.874 0.000 0.000
0.000 3.874 0.000
0.000 0.000 8.294
Pd O Se Pt
2 2 2 2
direct
0.250 0.250 0.758
0.750 0.750 0.242
0.250 0.250 0.499
0.750 0.750 0.501
0.750 0.750 0.706
0.250 0.250 0.294
0.750 0.250 0.000
0.250 0.750 0.000

=====

# 7
PBE PdPtSeO, relaxed; M_tot = 0.00 μB per cell; ΔE to the lowest computed polymorph = 0.21 eV per formula unit; symmetry = Pca2_1 (29); E = -4.9748 eV per atom
1.0
-4.221 2.181 -3.913
-1.619 -7.825 -2.614
-3.461 -0.448 3.484
Pd Pt Se O
4 4 4 4
direct
0.008 0.688 0.503
0.492 0.688 0.003
0.992 0.312 0.003
0.508 0.312 0.503
0.132 0.134 0.531
0.632 0.866 0.531
0.868 0.866 0.031
0.368 0.134 0.031
0.912 0.372 0.503
0.412 0.628 0.503
0.088 0.628 0.003
0.588 0.372 0.003
0.646 0.022 0.213
0.146 0.978 0.213
0.354 0.978 0.713
0.854 0.022 0.713

=====

# 8
PBE PdPtSeO, relaxed; M_tot = 0.00 μB per cell; ΔE to the lowest computed polymorph = 0.00 eV per formula unit; symmetry = Pca2_1 (29); E = -5.0274 eV per atom
1.0
5.945 0.000 0.000
0.000 7.182 0.000
0.000 0.000 5.849
Pd Se Pt O
4 4 4 4
direct
0.307 0.158 0.113
0.693 0.842 0.613
0.807 0.842 0.113
0.193 0.158 0.613
0.992 0.396 0.404
0.492 0.604 0.404
0.008 0.604 0.904
0.508 0.396 0.904
0.107 0.712 0.522
0.893 0.288 0.022
0.607 0.288 0.522
0.393 0.712 0.022
0.818 0.103 0.711
0.318 0.897 0.711
0.182 0.897 0.211
0.682 0.103 0.211

=====

# 9
PBE TePdPtO, relaxed; M_tot = 0.00 μB per cell; ΔE to the lowest computed polymorph = 0.92 eV per formula unit; symmetry = P4/nmm (129); E = -4.7945 eV per atom
1.0
-2.143 -2.712 2.132
0.235 -2.619 -3.095
7.492 -3.288 3.351
Te Pt Pd O
2 2 2 2
direct
0.750 0.750 0.861
0.250 0.250 0.139
0.750 0.750 0.561
0.250 0.250 0.439
0.750 0.750 0.167
0.250 0.250 0.833
0.250 0.750 0.500
0.750 0.250 0.500

=====

# 10
PBE TePdPtO, relaxed; M_tot = 0.02 μB per cell; ΔE to the lowest computed polymorph = 0.00 eV per formula unit; symmetry = Pbcm (57); E = -5.0246 eV per atom
1.0
6.303 0.000 0.000
0.000 7.606 0.000
0.000 0.000 5.817
Pd Te Pt O
4 4 4 4
direct
0.382 0.713 0.125
0.882 0.287 0.125
0.618 0.287 0.625
0.118 0.713 0.625
0.977 0.625 0.125
0.523 0.625 0.625
0.023 0.375 0.625
0.477 0.375 0.125
0.250 0.161 0.375
0.750 0.839 0.375
0.250 0.161 0.875
0.750 0.839 0.875
0.356 0.986 0.125
0.144 0.986 0.625
0.856 0.014 0.125
0.644 0.014 0.625

=====

# 11
PBE TePdPtO, relaxed; M_tot = 0.00 μB per cell; ΔE to the lowest computed polymorph = 0.02 eV per formula unit; symmetry = Pca2_1 (29); E = -5.0207 eV per atom
1.0
-4.837 -0.479 3.182
2.358 -6.259 2.642
2.944 3.202 4.957
Pd O Te Pt
4 4 4 4
direct
0.893 0.992 0.869
0.607 0.992 0.369
0.393 0.008 0.869
0.107 0.008 0.369
0.135 0.735 0.233
0.365 0.735 0.733
0.865 0.265 0.733
0.635 0.265 0.233
0.402 0.335 0.018
0.598 0.665 0.518
0.902 0.665 0.018
0.098 0.335 0.518
0.514 0.306 0.630
0.486 0.694 0.130
0.014 0.694 0.630
0.986 0.306 0.130

=====

# 12
PBE TePdPtO, relaxed; M_tot = 0.04 μB per cell; ΔE to the lowest computed polymorph = 0.62 eV per formula unit; symmetry = P2_12_12_1 (19); E = -4.8700 eV per atom
1.0
-0.501 -2.340 -4.879
2.974 -6.352 2.741
-6.444 -2.263 1.747
O Pt Pd Te
4 4 4 4
direct
0.973 0.349 0.813
0.027 0.849 0.687
0.527 0.651 0.313
0.473 0.151 0.187
0.187 0.294 0.579
0.813 0.794 0.921
0.313 0.706 0.079
0.687 0.206 0.421
0.225 0.285 0.019
0.725 0.215 0.981
0.775 0.785 0.481
0.275 0.715 0.519
0.980 0.465 0.292
0.020 0.965 0.208
0.520 0.535 0.792
0.480 0.035 0.708

=====

# 13
PBE TePdPtO, relaxed; M_tot = 0.04 μB per cell; ΔE to the lowest computed polymorph = 0.14 eV per formula unit; symmetry = Pbca (61); E = -4.9907 eV per atom
1.0
-6.032 -3.427 -0.109
1.167 -2.400 10.872
-3.520 6.140 1.733
Pt O Pd Te
8 8 8 8
direct
0.267 0.898 0.482
0.233 0.398 0.482
0.267 0.602 0.982
0.733 0.102 0.518
0.733 0.398 0.018
0.767 0.898 0.018
0.233 0.102 0.982
0.767 0.602 0.518
0.218 0.731 0.605
0.718 0.769 0.395
0.782 0.231 0.895
0.218 0.769 0.105
0.782 0.269 0.395
0.282 0.231 0.605
0.718 0.731 0.895
0.282 0.269 0.105
0.524 0.271 0.265
0.024 0.271 0.235
0.024 0.229 0.735
0.476 0.729 0.735
0.976 0.771 0.265
0.524 0.229 0.765
0.976 0.729 0.765
0.476 0.771 0.235
0.015 0.518 0.248
0.485 0.482 0.748
0.015 0.982 0.748
0.515 0.982 0.752
0.485 0.018 0.248
0.985 0.482 0.752
0.985 0.018 0.252
0.515 0.518 0.252

=====

# 14
PBE TePdPtO, relaxed; M_tot = 0.02 μB per cell; ΔE to the lowest computed polymorph = 0.29 eV per formula unit; symmetry = P4/nmm (129); E = -4.9509 eV per atom
1.0
2.842 -2.842 0.000
2.842 2.842 0.000
0.000 0.000 8.269
O Pd Te Pt
2 2 2 2
direct
0.250 0.250 0.006
0.750 0.750 0.994
0.750 0.750 0.741
0.250 0.250 0.259
0.250 0.250 0.779
0.750 0.750 0.221
0.750 0.250 0.500
0.250 0.750 0.500

=====

# 15
PBE TePdPtO, relaxed; M_tot = 0.01 μB per cell; ΔE to the lowest computed polymorph = 0.41 eV per formula unit; symmetry = P4/nmm (129); E = -4.9218 eV per atom
1.0
-1.499 2.703 -2.561
-3.680 -0.655 1.462
1.170 5.974 5.620
Pt Pd O Te
2 2 2 2
direct
0.250 0.250 0.764
0.750 0.750 0.236
0.750 0.250 0.000
0.250 0.750 0.000
0.750 0.750 0.488
0.250 0.250 0.512
0.750 0.750 0.716
0.250 0.250 0.284

=====

# 16
PBE TePdPtO, relaxed; M_tot = 0.02 μB per cell; ΔE to the lowest computed polymorph = 0.25 eV per formula unit; symmetry = P4/nmm (129); E = -4.9621 eV per atom
1.0
-0.605 -2.597 -3.033
1.094 -3.058 2.401
-8.521 -1.024 2.577
O Pt Te Pd
2 2 2 2
direct
0.750 0.250 0.500
0.250 0.750 0.500
0.750 0.750 0.150
0.250 0.250 0.850
0.250 0.250 0.141
0.750 0.750 0.859
0.750 0.750 0.447
0.250 0.250 0.553

=====

# 17
PBE TePdPtO, relaxed; M_tot = 0.02 μB per cell; ΔE to the lowest computed polymorph = 0.06 eV per formula unit; symmetry = Pbca (61); E = -5.0099 eV per atom
1.0
6.738 0.000 0.000
0.000 10.979 0.000
0.000 0.000 7.670
Pt Te Pd O
8 8 8 8
direct
0.500 0.778 0.248
0.000 0.222 0.748
0.500 0.278 0.252
0.000 0.722 0.752
0.000 0.778 0.252
0.500 0.222 0.752
0.500 0.722 0.748
0.000 0.278 0.248
0.497 0.527 0.254
0.003 0.027 0.254
0.503 0.027 0.246
0.997 0.527 0.246
0.503 0.473 0.746
0.997 0.973 0.746
0.003 0.473 0.754
0.497 0.973 0.754
0.258 0.400 0.019
0.242 0.600 0.519
0.242 0.900 0.019
0.758 0.100 0.981
0.742 0.600 0.981
0.742 0.900 0.481
0.258 0.100 0.519
0.758 0.400 0.481
0.251 0.777 0.393
0.249 0.277 0.393
0.749 0.277 0.107
0.249 0.223 0.893
0.751 0.777 0.107
0.751 0.723 0.607
0.251 0.723 0.893
0.749 0.223 0.607

=====

# 18
PBE TePdPtO, relaxed; M_tot = 0.01 μB per cell; ΔE to the lowest computed polymorph = 0.78 eV per formula unit; symmetry = P4/nmm (129); E = -4.8302 eV per atom
1.0
4.905 0.000 0.000
0.000 4.905 0.000
0.000 0.000 6.619
Pt Te O Pd
2 2 2 2
direct
0.250 0.250 0.705
0.750 0.750 0.295
0.750 0.250 0.500
0.250 0.750 0.500
0.750 0.750 0.010
0.250 0.250 0.990
0.250 0.250 0.288
0.750 0.750 0.712